DFT (GGA-PBE) results for a geometry-optimized Sr5PbAu2 structure.

Lattice parameters (Å, degrees): 9.9032 9.9032 9.9032 129.00 129.00 75.02
With the nearest neighbours (Å) after each atom.
Fractional positions:
Sr  0.0000  0.0000  0.0000  4 Au 3.37
Sr  0.0315  0.5315  0.8406  3 Au 3.29-3.35, 2 Pb 3.61
Sr  0.1909  0.0315  0.5000  3 Au 3.29-3.35, 2 Pb 3.61
Sr  0.3091  0.8091  0.8406  3 Au 3.29-3.35, 2 Pb 3.61
Sr  0.4685  0.3091  0.5000  3 Au 3.29-3.35, 2 Pb 3.61
Sr  0.5000  0.5000  0.0000  4 Au 3.37
Sr  0.5315  0.6909  0.5000  3 Au 3.29-3.35, 2 Pb 3.61
Sr  0.6909  0.1909  0.1594  3 Au 3.29-3.35, 2 Pb 3.61
Sr  0.8091  0.9685  0.5000  3 Au 3.29-3.35, 2 Pb 3.61
Sr  0.9685  0.4685  0.1594  3 Au 3.29-3.35, 2 Pb 3.61
Pb  0.2500  0.2500  0.0000  10 Sr 3.61-3.93
Pb  0.7500  0.7500  0.0000  10 Sr 3.61-3.93
Au  0.1249  0.3751  0.5000  1 Au 3.01, 8 Sr 3.29-3.37
Au  0.3751  0.8751  0.2501  1 Au 3.01, 8 Sr 3.29-3.37
Au  0.6249  0.1249  0.7499  1 Au 3.01, 8 Sr 3.29-3.37
Au  0.8751  0.6249  0.5000  1 Au 3.01, 8 Sr 3.29-3.37

Values from the calculation:
The magnetic moment is 0.0 μB/f.u. The value obtained for the calculated formation energy is -0.61 eV per atom. The value obtained for the calculated volume is 35.70 Å³ per atom. Its energy is -2.947 eV/atom. As for the space group: I4/mcm, No. 140. The crystal system is tetragonal.